No. 1
VASP calculation (GGA-PBE) on crystalline PmGa2CuAu2 at its relaxed geometry.

CIF file:
```
data_PmGa2CuAu2
_chemical_formula_sum 'Pm1 Ga2 Cu1 Au2'
_cell_length_a 4.463
_cell_length_b 4.463
_cell_length_c 6.694
_cell_angle_alpha 90.00
_cell_angle_beta 90.00
_cell_angle_gamma 120.00
_space_group_name_H-M_alt 'P 1'
_space_group_IT_number 1
loop_
_space_group_symop_operation_xyz
'x,y,z'
loop_
_atom_site_label
_atom_site_fract_x
_atom_site_fract_y
_atom_site_fract_z
Pm1 0.000 0.000 0.000
Ga1 0.333 0.667 0.707
Ga2 0.667 0.333 0.293
Cu1 0.000 0.000 0.500
Au1 0.333 0.667 0.293
Au2 0.667 0.333 0.707
```

calculated density	10.671	g/cm³
total magnetization	0.000	μB per formula unit
space-group type	P-3m1 (164)
ΔE_f	-0.476	eV/atom

---

No. 2
VASP calculation (GGA-PBE) on crystalline BaTc2HgO8 at its relaxed geometry.

CIF file:
```
data_BaTc2HgO8
_chemical_formula_sum 'Ba1 Tc2 Hg1 O8'
_cell_length_a 6.563
_cell_length_b 6.563
_cell_length_c 7.942
_cell_angle_alpha 93.42
_cell_angle_beta 93.42
_cell_angle_gamma 65.56
_space_group_name_H-M_alt 'P 1'
_space_group_IT_number 1
loop_
_space_group_symop_operation_xyz
'x,y,z'
loop_
_atom_site_label
_atom_site_fract_x
_atom_site_fract_y
_atom_site_fract_z
Ba1 0.000 0.000 0.000
Tc1 0.344 0.344 0.746
Tc2 0.656 0.656 0.254
Hg1 0.000 0.000 0.500
O1 0.205 0.205 0.839
O2 0.224 0.628 0.808
O3 0.318 0.318 0.530
O4 0.372 0.776 0.192
O5 0.628 0.224 0.808
O6 0.682 0.682 0.470
O7 0.776 0.372 0.192
O8 0.795 0.795 0.161
```

formation energy (no corrections)	-19.553	eV per formula unit
calculated density	3.538	g/cm³
total magnetization	0.000	μB per formula unit
space-group type	C2/m (12)

---

No. 3
VASP calculation (GGA-PBE) on crystalline Sb2AsPbI at its relaxed geometry.

CIF file:
```
data_Sb2AsPbI
_chemical_formula_sum 'Sb2 As1 Pb1 I1'
_cell_length_a 5.976
_cell_length_b 5.976
_cell_length_c 5.997
_cell_angle_alpha 90.00
_cell_angle_beta 90.00
_cell_angle_gamma 90.00
_space_group_name_H-M_alt 'P 1'
_space_group_IT_number 1
loop_
_space_group_symop_operation_xyz
'x,y,z'
loop_
_atom_site_label
_atom_site_fract_x
_atom_site_fract_y
_atom_site_fract_z
Sb1 0.000 0.500 0.000
Sb2 0.500 0.000 0.000
As1 0.000 0.000 0.500
Pb1 0.500 0.500 0.000
I1 0.500 0.500 0.500
```

formation energy (no corrections)	4.981	eV per formula unit
calculated density	5.060	g/cm³
excess energy over the best structure of this formula in the dataset	547	meV/atom
total magnetization	0.243	μB per formula unit
space-group type	P4/mmm (123)

---

No. 4
VASP calculation (GGA-PBE) on crystalline TbMgCd at its relaxed geometry.

CIF file:
```
data_TbMgCd
_chemical_formula_sum 'Tb1 Mg1 Cd1'
_cell_length_a 5.063
_cell_length_b 5.063
_cell_length_c 3.389
_cell_angle_alpha 90.00
_cell_angle_beta 90.00
_cell_angle_gamma 120.00
_space_group_name_H-M_alt 'P 1'
_space_group_IT_number 1
loop_
_space_group_symop_operation_xyz
'x,y,z'
loop_
_atom_site_label
_atom_site_fract_x
_atom_site_fract_y
_atom_site_fract_z
Tb1 0.000 0.000 0.000
Mg1 0.333 0.667 0.501
Cd1 0.667 0.333 0.499
```

calculated density	6.526	g/cm³
total magnetization	0.000	μB per formula unit
space-group type	P3m1 (156)
ΔE_f	-0.221	eV/atom

---

No. 5
VASP calculation (GGA-PBE) on crystalline Al3Ru at its relaxed geometry.

CIF file:
```
data_Al3Ru
_chemical_formula_sum 'Al3 Ru1'
_cell_length_a 5.067
_cell_length_b 5.067
_cell_length_c 5.067
_cell_angle_alpha 145.58
_cell_angle_beta 65.63
_cell_angle_gamma 126.00
_space_group_name_H-M_alt 'P 1'
_space_group_IT_number 1
loop_
_space_group_symop_operation_xyz
'x,y,z'
loop_
_atom_site_label
_atom_site_fract_x
_atom_site_fract_y
_atom_site_fract_z
Al1 0.000 0.000 0.000
Al2 0.143 0.379 0.764
Al3 0.615 0.379 0.236
Ru1 0.534 0.034 0.500
```

calculated density	5.145	g/cm³
total magnetization	0.000	μB per formula unit
space-group type	Imm2 (44)
ΔE_f	-0.403	eV/atom

---

No. 6
VASP calculation (GGA-PBE) on crystalline YB3Cl at its relaxed geometry.

CIF file:
```
data_YB3Cl
_chemical_formula_sum 'Y1 B3 Cl1'
_cell_length_a 5.014
_cell_length_b 5.014
_cell_length_c 5.014
_cell_angle_alpha 90.00
_cell_angle_beta 90.00
_cell_angle_gamma 90.00
_space_group_name_H-M_alt 'P 1'
_space_group_IT_number 1
loop_
_space_group_symop_operation_xyz
'x,y,z'
loop_
_atom_site_label
_atom_site_fract_x
_atom_site_fract_y
_atom_site_fract_z
Y1 0.000 0.000 0.000
B1 0.000 0.000 0.500
B2 0.000 0.500 0.000
B3 0.500 0.000 0.000
Cl1 0.500 0.500 0.500
```

formation energy (no corrections)	11.281	eV per formula unit
calculated density	2.066	g/cm³
excess energy over the best structure of this formula in the dataset	621	meV/atom
total magnetization	0.000	μB per formula unit
space-group type	Pm-3m (221)

---

no.,final energy (eV/atom)
1,-4.052
2,-6.848
3,-2.634
4,-2.601
5,-5.529
6,-3.412